A geometry-optimized NaYSeO4 structure, computed with PBE-GGA.

```
data_NaYSeO4
_symmetry_space_group_name_H-M 'I m m a'
_symmetry_Int_Tables_number 74
_symmetry_space_group_name_Hall '-I 2b 2'
_cell_length_a 6.715
_cell_length_b 7.092
_cell_length_c 8.720
_cell_angle_alpha 90.00
_cell_angle_beta 90.00
_cell_angle_gamma 90.00
loop_
_atom_site_label
_atom_site_type_symbol
_atom_site_fract_x
_atom_site_fract_y
_atom_site_fract_z
_atom_site_occupancy
Na1 Na 0.000 0.000 0.000 1
Y1 Y 0.250 0.250 0.250 1
Se1 Se 0.000 0.250 0.648 1
O1 O 0.000 0.042 0.252 1
O2 O 0.205 0.250 0.527 1
```

Calculated values
Formation energy without anion corrections (eV per atom): -1.84
Fermi-level density of states (states/eV/cell): 0.0



A geometry-optimized NaYSe4O12 structure, computed with PBE-GGA.

```
data_NaYSe4O12
_symmetry_space_group_name_H-M 'P 4/m m m'
_symmetry_Int_Tables_number 123
_symmetry_space_group_name_Hall '-P 4 2'
_cell_length_a 5.395
_cell_length_b 5.395
_cell_length_c 7.612
_cell_angle_alpha 90.00
_cell_angle_beta 90.00
_cell_angle_gamma 90.00
loop_
_atom_site_label
_atom_site_type_symbol
_atom_site_fract_x
_atom_site_fract_y
_atom_site_fract_z
_atom_site_occupancy
Na1 Na 0.000 0.000 0.000 1
Y1 Y 0.500 0.500 0.500 1
Se1 Se 0.000 0.500 0.246 1
O1 O 0.000 0.500 0.000 1
O2 O 0.000 0.500 0.500 1
O3 O 0.260 0.260 0.271 1
```

Calculated values
Formation energy without anion corrections (eV per atom): -0.76
Fermi-level density of states (states/eV/cell): 4.6



Fermi-level density of states of number 1 (NaYSeO4)?
0.0 states/eV/cell



Look up the Fermi-level density of states of the second one.
4.6 states/eV/cell